No. 1
This record from Alexandria describes an optimized crystal structure of HoSc2Te. The functional is PBE.

M_tot (Bohr magnetons per cell): 0.00
DOS(E_F) (states/eV per atom): 1.222
Energy relative to the elements, uncorrected (meV per atom): -636
Polymorph energy (0 for the lowest one) (eV/atom): 0.000

Lattice parameters (Å, degrees): 3.8295 6.0915 9.1510 90.00 90.00 108.33
Fractional positions:
Ho  0.9501  0.9001  0.2500
Ho  0.0499  0.0999  0.7500
Sc  0.3640  0.7278  0.9642
Sc  0.3640  0.7278  0.5358
Sc  0.6360  0.2722  0.0358
Sc  0.6360  0.2722  0.4642
Te  0.2341  0.4683  0.2500
Te  0.7659  0.5317  0.7500



No. 2
This record from Alexandria describes an optimized crystal structure of TbPmRuPb. The functional is PBE.

M_tot (Bohr magnetons per cell): 0.00
DOS(E_F) (states/eV per atom): 0.617
Energy of formation from the pure elements (meV/atom): -220

Lattice parameters (Å, degrees): 5.1959 5.1959 5.1959 60.00 60.00 60.00
Fractional positions:
Pm  0.5000  0.5000  0.5000
Pb  0.7500  0.7500  0.7500
Tb  0.0000  0.0000  0.0000
Ru  0.2500  0.2500  0.2500



No. 3
This record from Alexandria describes an optimized crystal structure of SbMoCl2. The functional is PBE.

M_tot (Bohr magnetons per cell): 0.00
DOS(E_F) (states/eV per atom): 0.916
Energy relative to the elements, uncorrected (meV per atom): 57
Polymorph energy (0 for the lowest one) (eV/atom): 0.361

Lattice parameters (Å, degrees): 3.1477 3.1477 8.6002 90.00 90.00 90.00
Fractional positions:
Cl  0.0000  0.0000  0.9578
Cl  0.5000  0.5000  0.3260
Sb  0.5000  0.5000  0.7212
Mo  0.0000  0.0000  0.4950



No. 4
This record from Alexandria describes an optimized crystal structure of Dy3AlTl4S8. The functional is PBE.

M_tot (Bohr magnetons per cell): 0.00
Energy relative to the elements, uncorrected (meV per atom): -1270

Lattice parameters (Å, degrees): 7.8780 8.7960 7.8783 116.63 120.00 90.00
Fractional positions:
Dy  0.5000  0.5000  0.5000
Dy  0.0000  0.5000  0.5000
Dy  0.5000  0.5000  0.0000
S  0.2170  0.6881  0.9712
S  0.7542  0.6881  0.9712
S  0.7830  0.3119  0.0288
S  0.2458  0.3119  0.0288
S  0.2172  0.6883  0.4344
S  0.7828  0.3117  0.5656
S  0.2666  0.2999  0.5332
S  0.7334  0.7001  0.4668
Al  0.0000  0.5000  0.0000
Tl  0.0000  0.0000  0.0000
Tl  0.5000  0.0000  0.5000
Tl  0.5000  0.0000  0.0000
Tl  0.0000  0.0000  0.5000



No. 5
This record from Alexandria describes an optimized crystal structure of TlGeAu. The functional is PBE.

M_tot (Bohr magnetons per cell): 0.00
DOS(E_F) (states/eV per atom): 0.418
Energy of formation from the pure elements (meV/atom): 327

Lattice parameters (Å, degrees): 5.1930 5.1930 5.7783 90.00 90.00 120.00
Fractional positions:
Tl  0.3333  0.6667  0.2500
Tl  0.6667  0.3333  0.7500
Au  0.0000  0.0000  0.0000
Au  0.0000  0.0000  0.5000
Ge  0.3333  0.6667  0.7500
Ge  0.6667  0.3333  0.2500



No. 6
This record from Alexandria describes an optimized crystal structure of NdYS2O. The functional is PBE.

M_tot (Bohr magnetons per cell): 0.00
DOS(E_F) (states/eV per atom): 0.141
Energy relative to the elements, uncorrected (meV per atom): -2495

Lattice parameters (Å, degrees): 3.9524 3.9524 13.9924 90.00 90.00 90.00
Fractional positions:
Y  0.0000  0.5000  0.8785
Y  0.5000  0.0000  0.1215
S  0.0000  0.5000  0.6998
S  0.0000  0.5000  0.0900
S  0.5000  0.0000  0.9100
S  0.5000  0.0000  0.3002
Nd  0.0000  0.5000  0.4118
Nd  0.5000  0.0000  0.5882
O  0.5000  0.5000  0.5000
O  0.0000  0.0000  0.5000